Record 1
This record from the Alexandria database describes a relaxed structure of Ac3PrMg4. The functional is GGA-PBE.

Values from the calculation:
As for the formation energy: -0.085 eV/atom.

Unit cell a=4.0704 b=4.0704 c=16.2612 alpha=90.00 beta=90.00 gamma=90.00
Closest atoms and distances in Å follow each position.
Space group P4/mmm (No. 123)
Symmetry-distinct sites (fractional):
Ac1 0.0000 0.0000 0.0000 x1  8 Mg 3.55
Ac2 0.0000 0.0000 0.2575 x2  8 Mg 3.56-3.58, 1 Pr 3.94
Pr1 0.0000 0.0000 0.5000 x1  8 Mg 3.40
Mg1 0.5000 0.5000 0.1282 x2  8 Ac 3.55-3.56
Mg2 0.5000 0.5000 0.3886 x2  4 Pr 3.40, 4 Ac 3.58, 1 Mg 3.62

=====

Record 2
This record from the Alexandria database describes a relaxed structure of AcPr6Mg2. The functional is GGA-PBE.

Values from the calculation:
As for the formation energy: -0.027 eV/atom.

Unit cell a=13.2851 b=3.9536 c=12.5113 alpha=90.00 beta=108.14 gamma=90.00
Closest atoms and distances in Å follow each position.
Space group C2/m (No. 12)
Symmetry-distinct sites (fractional):
Ac1 0.0000 0.0000 0.0000 x2  4 Mg 3.49, 4 Pr 3.83
Pr1 0.0174 0.0000 0.3391 x4  2 Mg 3.36, 6 Pr 3.70-3.73
Pr2 0.1833 0.5000 0.8752 x4  2 Mg 3.38, 5 Pr 3.65-3.71
Pr3 0.1846 0.5000 0.5822 x4  2 Mg 3.36, 7 Pr 3.66-3.73
Mg1 0.1562 0.5000 0.2191 x4  6 Pr 3.36-3.38, 2 Ac 3.49

=====

Record 3
This record from the Alexandria database describes a relaxed structure of Ac12Pr3Mg. The functional is GGA-PBE.

Values from the calculation:
As for the formation energy: 0.019 eV/atom.

Unit cell a=5.5115 b=5.5115 c=22.1479 alpha=90.00 beta=90.00 gamma=90.00
Closest atoms and distances in Å follow each position.
Space group P4/mmm (No. 123)
Symmetry-distinct sites (fractional):
Ac1 0.0000 0.0000 0.0000 x1  8 Ac 3.87, 4 Mg 3.90
Ac2 0.0000 0.0000 0.2478 x2  4 Pr 3.90, 8 Ac 3.91-3.92
Ac3 0.0000 0.0000 0.5000 x1  4 Pr 3.90, 8 Ac 3.93
Ac4 0.0000 0.5000 0.1228 x4  8 Ac 3.87-3.91, 2 Mg 3.87, 2 Pr 3.90
Ac5 0.0000 0.5000 0.3737 x4  8 Ac 3.90-3.93, 4 Pr 3.93
Pr1 0.5000 0.5000 0.2472 x2  12 Ac 3.90-3.93
Pr2 0.5000 0.5000 0.5000 x1  12 Ac 3.90-3.93
Mg1 0.5000 0.5000 0.0000 x1  12 Ac 3.87-3.90